# Zr4Zn3 (SCAN, single point on PBEsol structure)
data_Zr4Zn3
_chemical_formula_sum 'Zr4 Zn3'
_cell_length_a 5.2254
_cell_length_b 5.2254
_cell_length_c 5.3586
_cell_angle_alpha 90.00
_cell_angle_beta 90.00
_cell_angle_gamma 120.00
_space_group_name_H-M_alt 'P 6/m m m'
_space_group_IT_number 191
_space_group_name_Hall '-P 6 2'
loop_
_atom_site_label
_atom_site_type_symbol
_atom_site_fract_x
_atom_site_fract_y
_atom_site_fract_z
Zr1 Zr 0.0000 0.0000 0.2453
Zr2 Zr 0.3333 0.6667 0.0000
Zn1 Zn 0.0000 0.5000 0.5000
# Magnetic moment (μB/cell): 0.00
# Total energy (eV/atom): -23.628